Record 1
## Sc6TcNi2 (PBE)

Data for a relaxed Sc6TcNi2 crystal.

abc: 8.662 8.885 8.996
angles: 90.00 90.00 90.00
Space group Immm (No. 71)
Asymmetric unit:
Sc (0.000, 0.205, 0.173)
Sc (0.178, 0.238, 0.500)
Sc (0.190, 0.500, 0.241)
Tc (0.000, 0.500, 0.000)
Tc (0.000, 0.500, 0.500)
Ni (0.000, 0.000, 0.374)
Ni (0.150, 0.000, 0.000)

Results
DFT formation energy: -296 meV per atom

Record 2
## CaZrAlZn (PBE)

Data for a relaxed CaZrAlZn crystal.

abc: 6.995 6.995 6.995
angles: 90.00 90.00 90.00
Space group F-43m (No. 216)
Asymmetric unit:
Ca (0.000, 0.000, 0.000)
Zr (0.000, 0.000, 0.500)
Al (0.250, 0.250, 0.750)
Zn (0.250, 0.250, 0.250)

Results
DFT formation energy: -122 meV per atom

Record 3
## Tc3SnN (PBE)

Data for a relaxed Tc3SnN crystal.

abc: 5.0195 5.0195 21.0910
angles: 90.00 90.00 120.00
Space group R-3 (No. 148, hexagonal axes)
Asymmetric unit:
Tc (0.0060, 0.3252, 0.4440)
Sn (0.0000, 0.0000, 0.3341)
N (0.0000, 0.0000, 0.1651)

Results
Excess energy over the best structure of this formula in the dataset: 214 meV per atom
Formation energy (no corrections): 0.257 eV per atom

Record 4
## KLiSb2 (PBE)

Data for a relaxed KLiSb2 crystal.

abc: 6.825 10.122 3.215
angles: 90.00 90.00 90.00
Space group Cmmm (No. 65)
Asymmetric unit:
K (0.000, 0.000, 0.000)
Li (0.000, 0.500, 0.000)
Sb (0.250, 0.250, 0.500)

Results
Excess energy over the best structure of this formula in the dataset: 141 meV per atom
Formation energy (no corrections): -0.240 eV per atom

Record 5
## ZnS2NF (PBE)

Data for a relaxed ZnS2NF crystal.

abc: 4.865 4.865 3.699
angles: 90.00 90.00 90.00
Space group P4/mmm (No. 123)
Asymmetric unit:
Zn (0.000, 0.000, 0.000)
S (0.000, 0.500, 0.000)
N (0.000, 0.000, 0.500)
F (0.500, 0.500, 0.500)

Results
Excess energy over the best structure of this formula in the dataset: 0 meV per atom
Formation energy (no corrections): 1.195 eV per atom

Record 6
## LiLa2Cu2 (PBE)

Data for a relaxed LiLa2Cu2 crystal.

abc: 3.564 3.564 19.521
angles: 90.00 90.00 90.00
Space group I4/mmm (No. 139)
Asymmetric unit:
Li (0.000, 0.000, 0.000)
La (0.000, 0.000, 0.376)
Cu (0.000, 0.500, 0.250)

Results
DFT formation energy: 123 meV per atom
Excess energy over the best structure of this formula in the dataset: 244 meV per atom

Table of E (eV/atom), in record order: -6.95; -4.01; -8.43; -3.05; -2.75; -3.87